1.
SiTeP2 | Alexandria via LeMat-Bulk | GGA-PBE | optimized geometry; raw formation energy = 1.33 eV/f.u.; calculated total energy = -4.513 eV per atom; space group = I4/mmm, No. 139; E above lowest polymorph = 58 kJ/mol of formula units; magnetic moment = 0.00 μB per formula unit
1.0
-2.672 2.672 2.714
2.672 -2.672 2.714
2.672 2.672 -2.714
Si Te P
1 1 2
Direct
0.000 0.000 0.000
0.500 0.500 0.000
0.000 0.500 0.500
0.500 0.000 0.500

***

2.
SiTe2P | Alexandria via LeMat-Bulk | GGA-PBE | optimized geometry; raw formation energy = 2.11 eV/f.u.; calculated total energy = -3.750 eV per atom; space group = R-3m, No. 166; E above lowest polymorph = 172 kJ/mol of formula units; magnetic moment = 0.00 μB per formula unit
1.0
1.940 1.120 8.505
-1.940 1.120 8.505
0.000 -2.240 8.505
Si Te P
1 2 1
Direct
0.000 0.000 0.000
0.398 0.398 0.398
0.602 0.602 0.602
0.500 0.500 0.500

***

3.
SiTe2P | Alexandria via LeMat-Bulk | GGA-PBE | optimized geometry; raw formation energy = 1.12 eV/f.u.; calculated total energy = -4.000 eV per atom; space group = C2/m, No. 12; E above lowest polymorph = 75 kJ/mol of formula units; magnetic moment = 0.00 μB per formula unit
1.0
3.482 -2.069 0.000
3.482 2.069 0.000
-2.471 0.000 6.497
Si Te P
1 2 1
Direct
0.000 0.000 0.000
0.250 0.250 0.753
0.750 0.750 0.247
0.500 0.500 0.500

***

4.
SiTeP2 | Alexandria via LeMat-Bulk | GGA-PBE | optimized geometry; raw formation energy = 2.98 eV/f.u.; calculated total energy = -4.101 eV per atom; space group = Fm-3m, No. 225; E above lowest polymorph = 217 kJ/mol of formula units; magnetic moment = 0.00 μB per formula unit
1.0
0.000 3.303 3.303
3.303 0.000 3.303
3.303 3.303 0.000
Si Te P
1 1 2
Direct
0.000 0.000 0.000
0.500 0.500 0.500
0.250 0.250 0.250
0.750 0.750 0.750

***

5.
Si3TeP | Alexandria via LeMat-Bulk | GGA-PBE | optimized geometry; raw formation energy = 8.42 eV/f.u.; calculated total energy = -3.279 eV per atom; space group = Pm-3m, No. 221; E above lowest polymorph = 462 kJ/mol of formula units; magnetic moment = 0.00 μB per formula unit
1.0
5.230 0.000 0.000
0.000 5.230 0.000
0.000 0.000 5.230
Si Te P
3 1 1
Direct
0.000 0.000 0.500
0.000 0.500 0.000
0.500 0.000 0.000
0.000 0.000 0.000
0.500 0.500 0.500

***

6.
SiTe2P | Alexandria via LeMat-Bulk | GGA-PBE | optimized geometry; raw formation energy = 2.43 eV/f.u.; calculated total energy = -3.673 eV per atom; space group = P4/mmm, No. 123; E above lowest polymorph = 202 kJ/mol of formula units; magnetic moment = 0.00 μB per formula unit
1.0
3.501 0.000 0.000
0.000 3.501 0.000
0.000 0.000 7.069
Si Te P
1 2 1
Direct
0.000 0.000 0.000
0.500 0.500 0.250
0.500 0.500 0.750
0.000 0.000 0.500

***

What did the second record say?
SiTe2P | Alexandria via LeMat-Bulk | GGA-PBE | optimized geometry; raw formation energy = 2.11 eV/f.u.; calculated total energy = -3.750 eV per atom; space group = R-3m, No. 166; E above lowest polymorph = 172 kJ/mol of formula units; magnetic moment = 0.00 μB per formula unit
1.0
1.940 1.120 8.505
-1.940 1.120 8.505
0.000 -2.240 8.505
Si Te P
1 2 1
Direct
0.000 0.000 0.000
0.398 0.398 0.398
0.602 0.602 0.602
0.500 0.500 0.500

***

Repeat the fourth record exactly.
SiTeP2 | Alexandria via LeMat-Bulk | GGA-PBE | optimized geometry; raw formation energy = 2.98 eV/f.u.; calculated total energy = -4.101 eV per atom; space group = Fm-3m, No. 225; E above lowest polymorph = 217 kJ/mol of formula units; magnetic moment = 0.00 μB per formula unit
1.0
0.000 3.303 3.303
3.303 0.000 3.303
3.303 3.303 0.000
Si Te P
1 1 2
Direct
0.000 0.000 0.000
0.500 0.500 0.500
0.250 0.250 0.250
0.750 0.750 0.750

***

Question: The highest calculated total energy belongs to which entry?
Answer: Si3TeP